Below is a relaxed structure of Ac4CeAg5, with properties calculated at the GGA-PBE level.

Results
For the total energy, the calculation gives -38.722 eV/f.u. Its space-group type is P4/mmm (123). The formation energy comes out at -209.8 meV/atom.

Cell: 3.907 3.907 19.706 Å, 90.00 90.00 90.00°
Atoms (fractional coordinates):
Ac1 0.000 0.000 0.102
Ac2 0.000 0.000 0.307
Ac3 0.000 0.000 0.693
Ac4 0.000 0.000 0.898
Ce1 0.000 0.000 0.500
Ag1 0.500 0.500 0.000
Ag2 0.500 0.500 0.204
Ag3 0.500 0.500 0.412
Ag4 0.500 0.500 0.588
Ag5 0.500 0.500 0.796



Below is a relaxed structure of Ac2CeAg5, with properties calculated at the GGA-PBE level.

Results
For the total energy, the calculation gives -29.349 eV/f.u. Its space-group type is I4/mmm (139). The formation energy comes out at -117.8 meV/atom.

Cell: 5.402 5.402 14.690 Å, 90.00 90.00 90.00°
Atoms (fractional coordinates):
Ac1 0.000 0.000 0.227
Ac2 0.000 0.000 0.773
Ac3 0.500 0.500 0.273
Ac4 0.500 0.500 0.727
Ce1 0.000 0.000 0.500
Ce2 0.500 0.500 0.000
Ag1 0.000 0.000 0.000
Ag2 0.000 0.500 0.105
Ag3 0.000 0.500 0.395
Ag4 0.000 0.500 0.605
Ag5 0.000 0.500 0.895
Ag6 0.500 0.000 0.105
Ag7 0.500 0.000 0.395
Ag8 0.500 0.000 0.605
Ag9 0.500 0.000 0.895
Ag10 0.500 0.500 0.500